1.
First-principles (meta-GGA SCAN) data for a PBEsol-optimized structure of CsMoN2, as listed in Alexandria.

Cell and atoms, written as POSCAR:
```
CsMoN2
1.0
8.522 0.000 0.000
0.000 6.115 0.000
0.000 0.000 12.239
Cs Mo N
8 8 16
direct
0.122 0.186 0.250
0.122 0.314 0.750
0.371 0.250 0.000
0.371 0.250 0.500
0.629 0.750 0.000
0.629 0.750 0.500
0.878 0.686 0.250
0.878 0.814 0.750
0.127 0.750 0.000
0.127 0.750 0.500
0.379 0.708 0.250
0.379 0.792 0.750
0.621 0.208 0.250
0.621 0.292 0.750
0.873 0.250 0.000
0.873 0.250 0.500
0.000 0.000 0.000
0.000 0.000 0.500
0.000 0.500 0.000
0.000 0.500 0.500
0.255 0.745 0.125
0.255 0.745 0.375
0.255 0.755 0.625
0.255 0.755 0.875
0.465 0.076 0.750
0.465 0.424 0.250
0.535 0.576 0.750
0.535 0.924 0.250
0.745 0.245 0.125
0.745 0.245 0.375
0.745 0.255 0.625
0.745 0.255 0.875
```

Space-group type = Pbcm, No. 57
M_tot = 0.000 μB/f.u.
Energy relative to the elements, uncorrected = -235 kJ/mol of formula units

2.
First-principles (meta-GGA SCAN) data for a PBEsol-optimized structure of BP2Pd, as listed in Alexandria.

Cell and atoms, written as POSCAR:
```
BP2Pd
1.0
-2.576 2.576 4.355
2.576 -2.576 4.355
2.576 2.576 -4.355
B P Pd
2 4 2
direct
0.000 0.000 0.000
0.750 0.250 0.500
0.067 0.125 0.442
0.375 0.933 0.058
0.683 0.625 0.558
0.875 0.317 0.942
0.250 0.750 0.500
0.500 0.500 0.000
```

Energy of formation = -0.78 eV per formula unit
Space-group type = I-42d, No. 122
M_tot = 0.000 μB/f.u.